# LaPPt2, relaxed, DFT GGA-PBE
data_LaPPt2
_symmetry_space_group_name_H-M 'P 4/m m m'
_symmetry_Int_Tables_number 123
_symmetry_space_group_name_Hall '-P 4 2'
_cell_length_a 4.169
_cell_length_b 4.169
_cell_length_c 4.498
_cell_angle_alpha 90.00
_cell_angle_beta 90.00
_cell_angle_gamma 90.00
loop_
_atom_site_label
_atom_site_type_symbol
_atom_site_fract_x
_atom_site_fract_y
_atom_site_fract_z
La1 La 0.000 0.000 0.000
P1 P 0.500 0.500 0.000
Pt1 Pt 0.000 0.500 0.500
# - DFT total energy (eV for the cell shown) = -24.7
# - E_form (meV per atom) = -578